Version i
# AgRu2Rh, optimized geometry, DFT GGA-PBEsol
data_AgRu2Rh
_chemical_formula_sum 'Ag1 Ru2 Rh1'
_cell_length_a 4.681
_cell_length_b 4.681
_cell_length_c 4.732
_cell_angle_alpha 99.20
_cell_angle_beta 99.20
_cell_angle_gamma 33.39
_space_group_name_H-M_alt 'P 1'
_space_group_IT_number 1
loop_
_space_group_symop_operation_xyz
'x,y,z'
loop_
_atom_site_label
_atom_site_type_symbol
_atom_site_fract_x
_atom_site_fract_y
_atom_site_fract_z
_atom_site_occupancy
Ag1 Ag 0.000 0.000 0.000 1
Ru1 Ru 0.243 0.243 0.720 1
Ru2 Ru 0.501 0.501 0.506 1
Rh1 Rh 0.756 0.756 0.252 1
# Density of states at the Fermi level ... 5.07 states/eV per cell
# Calculated volume ... 14.06 Å³ per atom
# Magnetic moment ... 0.00 μB per cell
# Space group ... No. 8


Version ii
# AgRu2Rh, optimized geometry, DFT GGA-PBEsol
data_AgRu2Rh
_chemical_formula_sum 'Ag1 Ru2 Rh1'
_cell_length_a 2.658
_cell_length_b 2.658
_cell_length_c 9.265
_cell_angle_alpha 90.00
_cell_angle_beta 90.00
_cell_angle_gamma 118.39
_space_group_name_H-M_alt 'P 1'
_space_group_IT_number 1
loop_
_space_group_symop_operation_xyz
'x,y,z'
loop_
_atom_site_label
_atom_site_type_symbol
_atom_site_fract_x
_atom_site_fract_y
_atom_site_fract_z
_atom_site_occupancy
Ag1 Ag 0.000 0.000 0.000 1
Ru1 Ru 0.000 0.000 0.499 1
Ru2 Ru 0.500 0.500 0.265 1
Rh1 Rh 0.500 0.500 0.740 1
# Density of states at the Fermi level ... 5.11 states/eV per cell
# Calculated volume ... 14.40 Å³ per atom
# Magnetic moment ... 0.98 μB per cell
# Space group ... No. 35


Energy comparison, zero being the most stable, in meV/atom: version i 0; version ii 89.


Version i
# ScAgRh, optimized geometry, DFT GGA-PBEsol
data_ScAgRh
_chemical_formula_sum 'Sc1 Ag1 Rh1'
_cell_length_a 5.178
_cell_length_b 5.178
_cell_length_c 5.178
_cell_angle_alpha 143.04
_cell_angle_beta 143.04
_cell_angle_gamma 53.26
_space_group_name_H-M_alt 'P 1'
_space_group_IT_number 1
loop_
_space_group_symop_operation_xyz
'x,y,z'
loop_
_atom_site_label
_atom_site_type_symbol
_atom_site_fract_x
_atom_site_fract_y
_atom_site_fract_z
_atom_site_occupancy
Sc1 Sc 0.000 0.000 0.000 1
Ag1 Ag 0.683 0.683 0.000 1
Rh1 Rh 0.358 0.358 0.000 1
# Density of states at the Fermi level ... 1.72 states/eV per cell
# Calculated volume ... 16.62 Å³ per atom
# Magnetic moment ... 0.00 μB per cell
# Space group ... No. 107


Version ii
# ScAgRh, optimized geometry, DFT GGA-PBEsol
data_ScAgRh
_chemical_formula_sum 'Sc1 Ag1 Rh1'
_cell_length_a 4.314
_cell_length_b 4.314
_cell_length_c 4.314
_cell_angle_alpha 60.00
_cell_angle_beta 60.00
_cell_angle_gamma 60.00
_space_group_name_H-M_alt 'P 1'
_space_group_IT_number 1
loop_
_space_group_symop_operation_xyz
'x,y,z'
loop_
_atom_site_label
_atom_site_type_symbol
_atom_site_fract_x
_atom_site_fract_y
_atom_site_fract_z
_atom_site_occupancy
Sc1 Sc 0.000 0.000 0.000 1
Ag1 Ag 0.750 0.750 0.750 1
Rh1 Rh 0.250 0.250 0.250 1
# Density of states at the Fermi level ... 1.35 states/eV per cell
# Calculated volume ... 18.93 Å³ per atom
# Magnetic moment ... 0.00 μB per cell
# Space group ... No. 216


Energy comparison, zero being the most stable, in meV/atom: version i 0; version ii 493.


Version i
# TaAgRh, optimized geometry, DFT GGA-PBEsol
data_TaAgRh
_chemical_formula_sum 'Ta1 Ag1 Rh1'
_cell_length_a 4.418
_cell_length_b 4.418
_cell_length_c 2.799
_cell_angle_alpha 90.00
_cell_angle_beta 90.00
_cell_angle_gamma 120.00
_space_group_name_H-M_alt 'P 1'
_space_group_IT_number 1
loop_
_space_group_symop_operation_xyz
'x,y,z'
loop_
_atom_site_label
_atom_site_type_symbol
_atom_site_fract_x
_atom_site_fract_y
_atom_site_fract_z
_atom_site_occupancy
Ta1 Ta 0.000 0.000 0.000 1
Ag1 Ag 0.333 0.667 0.598 1
Rh1 Rh 0.667 0.333 0.207 1
# Density of states at the Fermi level ... 1.80 states/eV per cell
# Calculated volume ... 15.77 Å³ per atom
# Magnetic moment ... 0.00 μB per cell
# Space group ... No. 156


Version ii
# TaAgRh, optimized geometry, DFT GGA-PBEsol
data_TaAgRh
_chemical_formula_sum 'Ta1 Ag1 Rh1'
_cell_length_a 4.871
_cell_length_b 4.871
_cell_length_c 4.871
_cell_angle_alpha 145.80
_cell_angle_beta 133.53
_cell_angle_gamma 58.95
_space_group_name_H-M_alt 'P 1'
_space_group_IT_number 1
loop_
_space_group_symop_operation_xyz
'x,y,z'
loop_
_atom_site_label
_atom_site_type_symbol
_atom_site_fract_x
_atom_site_fract_y
_atom_site_fract_z
_atom_site_occupancy
Ta1 Ta 0.000 0.000 0.000 1
Ag1 Ag 0.675 0.675 0.000 1
Rh1 Rh 0.345 0.345 0.000 1
# Density of states at the Fermi level ... 1.78 states/eV per cell
# Calculated volume ... 15.56 Å³ per atom
# Magnetic moment ... 0.00 μB per cell
# Space group ... No. 44


Energy comparison, zero being the most stable, in meV/atom: version i 120; version ii 0.


Version i
# TaAg2Rh, optimized geometry, DFT GGA-PBEsol
data_TaAg2Rh
_chemical_formula_sum 'Ta1 Ag2 Rh1'
_cell_length_a 5.067
_cell_length_b 5.067
_cell_length_c 4.637
_cell_angle_alpha 99.99
_cell_angle_beta 99.99
_cell_angle_gamma 32.64
_space_group_name_H-M_alt 'P 1'
_space_group_IT_number 1
loop_
_space_group_symop_operation_xyz
'x,y,z'
loop_
_atom_site_label
_atom_site_type_symbol
_atom_site_fract_x
_atom_site_fract_y
_atom_site_fract_z
_atom_site_occupancy
Ta1 Ta 0.000 0.000 0.000 1
Ag1 Ag 0.247 0.247 0.748 1
Ag2 Ag 0.753 0.753 0.252 1
Rh1 Rh 0.500 0.500 0.500 1
# Density of states at the Fermi level ... 2.13 states/eV per cell
# Calculated volume ... 15.79 Å³ per atom
# Magnetic moment ... 0.00 μB per cell
# Space group ... No. 12


Version ii
# TaAg2Rh, optimized geometry, DFT GGA-PBEsol
data_TaAg2Rh
_chemical_formula_sum 'Ta1 Ag2 Rh1'
_cell_length_a 4.850
_cell_length_b 4.850
_cell_length_c 4.850
_cell_angle_alpha 131.72
_cell_angle_beta 131.57
_cell_angle_gamma 70.80
_space_group_name_H-M_alt 'P 1'
_space_group_IT_number 1
loop_
_space_group_symop_operation_xyz
'x,y,z'
loop_
_atom_site_label
_atom_site_type_symbol
_atom_site_fract_x
_atom_site_fract_y
_atom_site_fract_z
_atom_site_occupancy
Ta1 Ta 0.000 0.000 0.000 1
Ag1 Ag 0.250 0.750 0.500 1
Ag2 Ag 0.500 0.500 0.000 1
Rh1 Rh 0.751 0.251 0.500 1
# Density of states at the Fermi level ... 2.38 states/eV per cell
# Calculated volume ... 15.60 Å³ per atom
# Magnetic moment ... 0.00 μB per cell
# Space group ... No. 44


Energy comparison, zero being the most stable, in meV/atom: version i 0; version ii 17.


Version i
# Tc2AgRh, optimized geometry, DFT GGA-PBEsol
data_Tc2AgRh
_chemical_formula_sum 'Tc2 Ag1 Rh1'
_cell_length_a 4.802
_cell_length_b 4.802
_cell_length_c 4.666
_cell_angle_alpha 99.74
_cell_angle_beta 99.74
_cell_angle_gamma 32.76
_space_group_name_H-M_alt 'P 1'
_space_group_IT_number 1
loop_
_space_group_symop_operation_xyz
'x,y,z'
loop_
_atom_site_label
_atom_site_type_symbol
_atom_site_fract_x
_atom_site_fract_y
_atom_site_fract_z
_atom_site_occupancy
Tc1 Tc 0.243 0.243 0.236 1
Tc2 Tc 0.757 0.757 0.764 1
Ag1 Ag 0.000 0.000 0.500 1
Rh1 Rh 0.500 0.500 0.000 1
# Density of states at the Fermi level ... 4.37 states/eV per cell
# Calculated volume ... 14.32 Å³ per atom
# Magnetic moment ... 0.00 μB per cell
# Space group ... No. 12


Version ii
# Tc2AgRh, optimized geometry, DFT GGA-PBEsol
data_Tc2AgRh
_chemical_formula_sum 'Tc2 Ag1 Rh1'
_cell_length_a 2.726
_cell_length_b 2.726
_cell_length_c 7.782
_cell_angle_alpha 90.00
_cell_angle_beta 90.00
_cell_angle_gamma 90.00
_space_group_name_H-M_alt 'P 1'
_space_group_IT_number 1
loop_
_space_group_symop_operation_xyz
'x,y,z'
loop_
_atom_site_label
_atom_site_type_symbol
_atom_site_fract_x
_atom_site_fract_y
_atom_site_fract_z
_atom_site_occupancy
Tc1 Tc 0.000 0.000 0.000 1
Tc2 Tc 0.500 0.500 0.230 1
Ag1 Ag 0.000 0.000 0.502 1
Rh1 Rh 0.500 0.500 0.767 1
# Density of states at the Fermi level ... 4.36 states/eV per cell
# Calculated volume ... 14.45 Å³ per atom
# Magnetic moment ... 0.00 μB per cell
# Space group ... No. 99


Version iii
# Tc2AgRh, optimized geometry, DFT GGA-PBEsol
data_Tc2AgRh
_chemical_formula_sum 'Tc2 Ag1 Rh1'
_cell_length_a 4.684
_cell_length_b 4.684
_cell_length_c 4.684
_cell_angle_alpha 131.09
_cell_angle_beta 131.09
_cell_angle_gamma 71.67
_space_group_name_H-M_alt 'P 1'
_space_group_IT_number 1
loop_
_space_group_symop_operation_xyz
'x,y,z'
loop_
_atom_site_label
_atom_site_type_symbol
_atom_site_fract_x
_atom_site_fract_y
_atom_site_fract_z
_atom_site_occupancy
Tc1 Tc 0.000 0.000 0.000 1
Tc2 Tc 0.750 0.250 0.500 1
Ag1 Ag 0.500 0.500 0.000 1
Rh1 Rh 0.250 0.750 0.500 1
# Density of states at the Fermi level ... 4.51 states/eV per cell
# Calculated volume ... 14.28 Å³ per atom
# Magnetic moment ... 0.00 μB per cell
# Space group ... No. 119


Energy comparison, zero being the most stable, in meV/atom: version i 128; version ii 0; version iii 170.


Version i
# AgTeRh, optimized geometry, DFT GGA-PBEsol
data_AgTeRh
_chemical_formula_sum 'Ag1 Te1 Rh1'
_cell_length_a 4.464
_cell_length_b 4.464
_cell_length_c 3.186
_cell_angle_alpha 90.00
_cell_angle_beta 90.00
_cell_angle_gamma 120.00
_space_group_name_H-M_alt 'P 1'
_space_group_IT_number 1
loop_
_space_group_symop_operation_xyz
'x,y,z'
loop_
_atom_site_label
_atom_site_type_symbol
_atom_site_fract_x
_atom_site_fract_y
_atom_site_fract_z
_atom_site_occupancy
Ag1 Ag 0.000 0.000 0.000 1
Te1 Te 0.333 0.667 0.500 1
Rh1 Rh 0.667 0.333 0.500 1
# Density of states at the Fermi level ... 2.07 states/eV per cell
# Calculated volume ... 18.33 Å³ per atom
# Magnetic moment ... 0.00 μB per cell
# Space group ... No. 187


Version ii
# AgTeRh, optimized geometry, DFT GGA-PBEsol
data_AgTeRh
_chemical_formula_sum 'Ag1 Te1 Rh1'
_cell_length_a 3.435
_cell_length_b 3.435
_cell_length_c 5.931
_cell_angle_alpha 90.00
_cell_angle_beta 90.00
_cell_angle_gamma 120.00
_space_group_name_H-M_alt 'P 1'
_space_group_IT_number 1
loop_
_space_group_symop_operation_xyz
'x,y,z'
loop_
_atom_site_label
_atom_site_type_symbol
_atom_site_fract_x
_atom_site_fract_y
_atom_site_fract_z
_atom_site_occupancy
Ag1 Ag 0.000 0.000 0.000 1
Te1 Te 0.667 0.333 0.418 1
Rh1 Rh 0.333 0.667 0.681 1
# Density of states at the Fermi level ... 0.54 states/eV per cell
# Calculated volume ... 20.20 Å³ per atom
# Magnetic moment ... 0.00 μB per cell
# Space group ... No. 156


Energy comparison, zero being the most stable, in meV/atom: version i 26; version ii 0.


Version i
# TlAgRh, optimized geometry, DFT GGA-PBEsol
data_TlAgRh
_chemical_formula_sum 'Tl1 Ag1 Rh1'
_cell_length_a 4.407
_cell_length_b 4.407
_cell_length_c 4.407
_cell_angle_alpha 60.00
_cell_angle_beta 60.00
_cell_angle_gamma 60.00
_space_group_name_H-M_alt 'P 1'
_space_group_IT_number 1
loop_
_space_group_symop_operation_xyz
'x,y,z'
loop_
_atom_site_label
_atom_site_type_symbol
_atom_site_fract_x
_atom_site_fract_y
_atom_site_fract_z
_atom_site_occupancy
Tl1 Tl 0.000 0.000 0.000 1
Ag1 Ag 0.500 0.500 0.500 1
Rh1 Rh 0.250 0.250 0.250 1
# Density of states at the Fermi level ... 1.32 states/eV per cell
# Calculated volume ... 20.17 Å³ per atom
# Magnetic moment ... 0.00 μB per cell
# Space group ... No. 216


Version ii
# TlAgRh, optimized geometry, DFT GGA-PBEsol
data_TlAgRh
_chemical_formula_sum 'Tl1 Ag1 Rh1'
_cell_length_a 5.583
_cell_length_b 5.583
_cell_length_c 5.583
_cell_angle_alpha 146.73
_cell_angle_beta 146.73
_cell_angle_gamma 47.76
_space_group_name_H-M_alt 'P 1'
_space_group_IT_number 1
loop_
_space_group_symop_operation_xyz
'x,y,z'
loop_
_atom_site_label
_atom_site_type_symbol
_atom_site_fract_x
_atom_site_fract_y
_atom_site_fract_z
_atom_site_occupancy
Tl1 Tl 0.000 0.000 0.000 1
Ag1 Ag 0.317 0.317 0.000 1
Rh1 Rh 0.655 0.655 0.000 1
# Density of states at the Fermi level ... 1.06 states/eV per cell
# Calculated volume ... 17.39 Å³ per atom
# Magnetic moment ... 0.00 μB per cell
# Space group ... No. 107


Energy comparison, zero being the most stable, in meV/atom: version i 86; version ii 0.